# 1
Below is an optimized crystal structure of Hf2Ga2Ir, with properties calculated at the PBE level.

Calculated values
Space-group type ... I4/mmm
Total moment ... 0.000 μB per atom
Calculated formation energy ... 0.313 eV/atom

a = 3.972 Å, b = 3.972 Å, c = 6.620 Å
α = 72.54°, β = 72.54°, γ = 90.00°
Element x y z (fractional)
1 Ir 0.000 0.000 0.000
2 Hf 0.750 0.250 0.500
3 Hf 0.250 0.750 0.500
4 Ga 0.407 0.407 0.187
5 Ga 0.593 0.593 0.813

# 2
Below is an optimized crystal structure of Nd3Sm2Ho, with properties calculated at the PBE level.

Calculated values
Space-group type ... Cmcm
Total moment ... 0.000 μB per atom
Calculated formation energy ... -0.004 eV/atom

a = 11.750 Å, b = 6.328 Å, c = 6.328 Å
α = 120.02°, β = 90.00°, γ = 90.00°
Element x y z (fractional)
1 Nd 0.470 0.165 0.835
2 Nd 0.970 0.165 0.835
3 Nd 0.470 0.500 0.500
4 Nd 0.970 0.500 0.500
5 Nd 0.970 0.835 0.165
6 Nd 0.470 0.835 0.165
7 Sm 0.720 0.166 0.500
8 Sm 0.220 0.500 0.834
9 Sm 0.220 0.834 0.500
10 Sm 0.720 0.500 0.166
11 Ho 0.720 0.833 0.833
12 Ho 0.220 0.167 0.167

# 3
Below is an optimized crystal structure of CoSn3Mo, with properties calculated at the PBE level.

Calculated values
Space-group type ... Pm-3m
Total moment ... 0.676 μB per atom
Calculated formation energy ... 0.754 eV/atom

a = 4.877 Å, b = 4.877 Å, c = 4.877 Å
α = 90.00°, β = 90.00°, γ = 90.00°
Each line ends with the local moment (μB).
Element x y z (fractional)
1 Mo 0.500 0.500 0.500  3.13
2 Co 0.000 0.000 0.000  -0.26
3 Sn 0.000 0.500 0.000  -0.02
4 Sn 0.000 0.000 0.500  -0.02
5 Sn 0.500 0.000 0.000  0.01

Listing E above lowest polymorph for the structures above in their given order: 23.22, 0.00, 0.00 kcal/mol of atoms.
Listing V for the structures above in their given order: 18.92, 33.95, 23.20 A^3/atom.